Computed, not measured: a relaxed structure of RbCuPdSe5 at the GGA-PBEsol level of DFT.

Values from the calculation:
- crystal system = monoclinic

The structure in extended XYZ format:
```
16
Lattice="6.213 0.000 0.012 0.000 7.261 0.000 -2.026 0.000 8.746" Properties=species:S:1:pos:R:3 pbc="T T T"
Se 0.531 3.562 6.276
Cu -0.492 5.445 5.325
Se 0.919 1.815 3.213
Se 3.656 7.192 2.482
Pd 2.093 0.000 4.379
Pd 2.093 3.630 4.379
Se 0.531 0.069 6.276
Rb 1.441 5.445 0.433
Se 1.668 1.815 0.959
Se 3.268 5.445 5.545
Se 5.276 5.445 3.029
Rb 2.746 1.815 8.325
Se 2.519 5.445 7.799
Se -1.089 1.815 5.729
Cu 4.679 1.815 3.432
Se 3.656 3.699 2.482
```



Computed, not measured: a relaxed structure of KLiAu4 at the GGA-PBEsol level of DFT.

Values from the calculation:
- DOS at the Fermi energy (states/eV per cell) = 2.1
- crystal system = cubic

The structure in extended XYZ format:
```
6
Lattice="5.558 0.000 0.000 2.779 4.813 0.000 2.779 1.604 4.538" Properties=species:S:1:pos:R:3 pbc="T T T"
Au 6.951 2.404 1.700
Au 5.558 3.209 3.975
Au 5.558 4.818 1.700
Li 0.000 0.000 0.000
Au 4.165 2.404 1.700
K 8.337 4.813 3.403
```



no.,electronic total energy (eV per atom)
1,-4.244
2,-3.387